VCrSe3 PBE-GGA relaxed; size of the total moment = 4.98 μB/f.u.; space group = Pm-3m; Fermi-level density of states = 4.85 states/eV/f.u.; raw formation energy = 170.5 meV/atom
1.0
4.845 0.000 0.000
0.000 4.845 0.000
0.000 0.000 4.845
Cr Se V
1 3 1
Cartesian
2.422 2.422 2.422
0.000 0.000 2.422
0.000 2.422 0.000
2.422 0.000 0.000
0.000 0.000 0.000